Entry 1:
# Ba2ZrRe GGA-PBEsol optimized geometry
data_Ba2ZrRe
_chemical_formula_sum 'Ba2 Zr1 Re1'
_symmetry_space_group_name_H-M 'P 1'
_symmetry_Int_Tables_number 1
_symmetry_space_group_name_Hall 'P 1'
_cell_length_a 4.3087
_cell_length_b 4.3087
_cell_length_c 6.3822
_cell_angle_alpha 109.73
_cell_angle_beta 109.73
_cell_angle_gamma 90.00
loop_
_atom_site_label
_atom_site_fract_x
_atom_site_fract_y
_atom_site_fract_z
Re1 0.5000 0.5000 0.0000
Zr1 0.0000 0.0000 0.0000
Ba1 0.2500 0.7500 0.5000
Ba2 0.7500 0.2500 0.5000
# * formation energy: 1.069 eV per atom
# * volume: 26.0 Å³/atom

***

Entry 2:
# NaGaIrBr2 GGA-PBEsol optimized geometry
data_NaGaIrBr2
_chemical_formula_sum 'Na1 Ga1 Ir1 Br2'
_symmetry_space_group_name_H-M 'P 1'
_symmetry_Int_Tables_number 1
_symmetry_space_group_name_Hall 'P 1'
_cell_length_a 4.6584
_cell_length_b 5.3263
_cell_length_c 5.3263
_cell_angle_alpha 90.00
_cell_angle_beta 90.00
_cell_angle_gamma 90.00
loop_
_atom_site_label
_atom_site_fract_x
_atom_site_fract_y
_atom_site_fract_z
Br1 0.0000 0.0000 0.5000
Br2 0.0000 0.5000 0.0000
Ga1 0.5000 0.0000 0.0000
Ir1 0.0000 0.0000 0.0000
Na1 0.5000 0.5000 0.5000
# * formation energy from raw total energies: -16.9 kJ per mole of atoms
# * volume: 26.4 Å³/atom

***

Entry 3:
# Fe3ReAg GGA-PBEsol optimized geometry
data_Fe3ReAg
_chemical_formula_sum 'Fe3 Re1 Ag1'
_symmetry_space_group_name_H-M 'P 1'
_symmetry_Int_Tables_number 1
_symmetry_space_group_name_Hall 'P 1'
_cell_length_a 4.4078
_cell_length_b 4.4078
_cell_length_c 4.4078
_cell_angle_alpha 90.00
_cell_angle_beta 90.00
_cell_angle_gamma 90.00
loop_
_atom_site_label
_atom_site_fract_x
_atom_site_fract_y
_atom_site_fract_z
Re1 0.0000 0.0000 0.0000
Fe1 0.0000 0.0000 0.5000
Fe2 0.0000 0.5000 0.0000
Fe3 0.5000 0.0000 0.0000
Ag1 0.5000 0.5000 0.5000
# * formation energy: 1.554 eV per atom
# * volume: 17.1 Å³/atom

***

Entry 4:
# La2InRh GGA-PBEsol optimized geometry
data_La2InRh
_chemical_formula_sum 'La2 In1 Rh1'
_symmetry_space_group_name_H-M 'P 1'
_symmetry_Int_Tables_number 1
_symmetry_space_group_name_Hall 'P 1'
_cell_length_a 3.7885
_cell_length_b 3.9276
_cell_length_c 6.9729
_cell_angle_alpha 97.99
_cell_angle_beta 90.00
_cell_angle_gamma 90.00
loop_
_atom_site_label
_atom_site_fract_x
_atom_site_fract_y
_atom_site_fract_z
La1 0.0000 0.0803 0.2817
La2 0.0000 0.9197 0.7183
Rh1 0.5000 0.5000 0.5000
In1 0.5000 0.5000 0.0000
# * formation energy: -0.532 eV per atom
# * volume: 25.7 Å³/atom